P | Below is a geometry-optimized PmSc2Hg6 structure, with properties calculated at the PBE-GGA level.

Properties
density: 11.30 g cm⁻³
total magnetization: 0.65 μB per formula unit

a = 15.145 Å, b = 8.385 Å, c = 3.417 Å
α = 90.00°, β = 103.00°, γ = 90.00°
Space group C2/m (No. 12)
Inequivalent atoms, fractional coordinates:
Pm (0.000, 0.000, 0.000)
Sc (0.147, 0.500, 0.145)
Hg (0.000, 0.331, 0.500)
Hg (0.175, 0.175, 0.676)

=====

Q | Below is a geometry-optimized PmSc2Hg6 structure, with properties calculated at the PBE-GGA level.

Properties
density: 9.74 g cm⁻³
total magnetization: 0.00 μB per formula unit

a = 4.569 Å, b = 4.569 Å, c = 23.506 Å
α = 90.00°, β = 90.00°, γ = 90.00°
Space group I4/mmm (No. 139)
Inequivalent atoms, fractional coordinates:
Pm (0.000, 0.000, 0.000)
Sc (0.000, 0.000, 0.329)
Hg (0.000, 0.500, 0.094)
Hg (0.000, 0.500, 0.250)

=====

Result of the stability comparison: Q is the least stable of them.

=====

P | Below is a geometry-optimized Pm2HgSe structure, with properties calculated at the PBE-GGA level.

Properties
density: 9.16 g cm⁻³
total magnetization: 0.11 μB per formula unit

a = 3.584 Å, b = 3.584 Å, c = 8.041 Å
α = 90.00°, β = 90.00°, γ = 90.00°
Space group P4/mmm (No. 123)
Inequivalent atoms, fractional coordinates:
Pm (0.000, 0.000, 0.234)
Hg (0.500, 0.500, 0.500)
Se (0.500, 0.500, 0.000)

=====

Q | Below is a geometry-optimized Pm2HgSe structure, with properties calculated at the PBE-GGA level.

Properties
density: 8.30 g cm⁻³
total magnetization: 0.00 μB per formula unit

a = 4.0491 Å, b = 4.0491 Å, c = 24.0772 Å
α = 90.00°, β = 90.00°, γ = 120.00°
Space group R3m (No. 160, hexagonal axes)
Inequivalent atoms, fractional coordinates:
Pm (0.0000, 0.0000, 0.0000)
Pm (0.0000, 0.0000, 0.1850)
Hg (0.0000, 0.0000, 0.7592)
Se (0.0000, 0.0000, 0.5908)

=====

R | Below is a geometry-optimized Pm2HgSe structure, with properties calculated at the PBE-GGA level.

Properties
density: 8.33 g cm⁻³
total magnetization: 0.00 μB per formula unit

a = 4.1399 Å, b = 4.1399 Å, c = 22.9401 Å
α = 90.00°, β = 90.00°, γ = 120.00°
Space group R-3m (No. 166, hexagonal axes)
Inequivalent atoms, fractional coordinates:
Pm (0.0000, 0.0000, 0.2425)
Hg (0.0000, 0.0000, 0.0000)
Se (0.0000, 0.0000, 0.5000)

=====

Result of the stability comparison: P is the least stable of them.

=====

P | Below is a geometry-optimized PmSiHg structure, with properties calculated at the PBE-GGA level.

Properties
density: 8.81 g cm⁻³
total magnetization: 0.00 μB per formula unit

a = 4.3811 Å, b = 4.3811 Å, c = 4.2372 Å
α = 90.00°, β = 90.00°, γ = 120.00°
Space group P3m1 (No. 156)
Inequivalent atoms, fractional coordinates:
Pm (0.0000, 0.0000, 0.0000)
Si (0.3333, 0.6667, 0.4688)
Hg (0.6667, 0.3333, 0.5232)

=====

Q | Below is a geometry-optimized PmSiHg structure, with properties calculated at the PBE-GGA level.

Properties
density: 8.21 g cm⁻³
total magnetization: 0.00 μB per formula unit

a = 6.711 Å, b = 6.711 Å, c = 6.711 Å
α = 90.00°, β = 90.00°, γ = 90.00°
Space group F-43m (No. 216)
Inequivalent atoms, fractional coordinates:
Pm (0.000, 0.000, 0.000)
Si (0.250, 0.250, 0.250)
Hg (0.000, 0.000, 0.500)

=====

Result of the stability comparison: Q is the least stable of them.

=====

P | Below is a geometry-optimized Pm2SiHg structure, with properties calculated at the PBE-GGA level.

Properties
density: 8.45 g cm⁻³
total magnetization: 0.00 μB per formula unit

a = 7.416 Å, b = 7.416 Å, c = 7.416 Å
α = 90.00°, β = 90.00°, γ = 90.00°
Space group Fm-3m (No. 225)
Inequivalent atoms, fractional coordinates:
Pm (0.250, 0.250, 0.250)
Si (0.000, 0.000, 0.000)
Hg (0.000, 0.000, 0.500)

=====

Q | Below is a geometry-optimized Pm2SiHg structure, with properties calculated at the PBE-GGA level.

Properties
density: 8.39 g cm⁻³
total magnetization: 0.00 μB per formula unit

a = 3.781 Å, b = 3.781 Å, c = 7.178 Å
α = 90.00°, β = 90.00°, γ = 90.00°
Space group P4/mmm (No. 123)
Inequivalent atoms, fractional coordinates:
Pm (0.000, 0.000, 0.225)
Si (0.500, 0.500, 0.000)
Hg (0.500, 0.500, 0.500)

=====

Result of the stability comparison: P is the least stable of them.

=====

P | Below is a geometry-optimized PmSmHg2 structure, with properties calculated at the PBE-GGA level.

Properties
density: 10.50 g cm⁻³
total magnetization: 0.85 μB per formula unit

a = 7.609 Å, b = 7.609 Å, c = 7.609 Å
α = 90.00°, β = 90.00°, γ = 90.00°
Space group Fm-3m (No. 225)
Inequivalent atoms, fractional coordinates:
Pm (0.000, 0.000, 0.000)
Sm (0.000, 0.000, 0.500)
Hg (0.250, 0.250, 0.250)

=====

Q | Below is a geometry-optimized PmSmHg2 structure, with properties calculated at the PBE-GGA level.

Properties
density: 9.60 g cm⁻³
total magnetization: 0.00 μB per formula unit

a = 3.8601 Å, b = 3.8601 Å, c = 27.9967 Å
α = 90.00°, β = 90.00°, γ = 120.00°
Space group R-3m (No. 166, hexagonal axes)
Inequivalent atoms, fractional coordinates:
Pm (0.0000, 0.0000, 0.0000)
Sm (0.0000, 0.0000, 0.5000)
Hg (0.0000, 0.0000, 0.2495)

=====

Result of the stability comparison: Q is the least stable of them.

=====

P | Below is a geometry-optimized Pm3SmHg2 structure, with properties calculated at the PBE-GGA level.

Properties
density: 9.11 g cm⁻³
total magnetization: 0.00 μB per formula unit

a = 5.252 Å, b = 9.543 Å, c = 7.180 Å
α = 90.00°, β = 90.00°, γ = 90.00°
Space group Pmc2_1 (No. 26)
Inequivalent atoms, fractional coordinates:
Pm (0.000, 0.056, 0.000)
Pm (0.000, 0.327, 0.341)
Pm (0.500, 0.174, 0.686)
Sm (0.500, 0.444, 0.027)
Hg (0.000, 0.351, 0.779)
Hg (0.500, 0.150, 0.248)

=====

Q | Below is a geometry-optimized Pm3SmHg2 structure, with properties calculated at the PBE-GGA level.

Properties
density: 9.13 g cm⁻³
total magnetization: 0.34 μB per formula unit

a = 3.749 Å, b = 3.749 Å, c = 12.771 Å
α = 90.00°, β = 90.00°, γ = 90.00°
Space group P4/mmm (No. 123)
Inequivalent atoms, fractional coordinates:
Pm (0.000, 0.000, 0.000)
Pm (0.000, 0.000, 0.305)
Sm (0.500, 0.500, 0.500)
Hg (0.500, 0.500, 0.155)

=====

Result of the stability comparison: Q is the least stable of them.

=====

P | Below is a geometry-optimized Pm2SmHg8 structure, with properties calculated at the PBE-GGA level.

Properties
density: 11.85 g cm⁻³
total magnetization: 0.00 μB per formula unit

a = 5.197 Å, b = 7.486 Å, c = 14.725 Å
α = 90.00°, β = 90.00°, γ = 90.00°
Space group Immm (No. 71)
Inequivalent atoms, fractional coordinates:
Pm (0.000, 0.000, 0.193)
Sm (0.000, 0.000, 0.500)
Hg (0.000, 0.212, 0.000)
Hg (0.000, 0.289, 0.354)
Hg (0.000, 0.500, 0.157)

=====

Q | Below is a geometry-optimized Pm2SmHg8 structure, with properties calculated at the PBE-GGA level.

Properties
density: 12.10 g cm⁻³
total magnetization: 0.00 μB per formula unit

a = 16.144 Å, b = 5.062 Å, c = 7.315 Å
α = 90.00°, β = 110.16°, γ = 90.00°
Space group C2/m (No. 12)
Inequivalent atoms, fractional coordinates:
Pm (0.210, 0.000, 0.154)
Sm (0.000, 0.500, 0.500)
Hg (0.022, 0.000, 0.228)
Hg (0.095, 0.500, 0.954)
Hg (0.152, 0.000, 0.672)
Hg (0.171, 0.500, 0.398)

=====

Result of the stability comparison: P is the least stable of them.

=====

P | Below is a geometry-optimized PmSm3Hg2 structure, with properties calculated at the PBE-GGA level.

Properties
density: 9.17 g cm⁻³
total magnetization: 0.00 μB per formula unit

a = 16.254 Å, b = 5.447 Å, c = 9.037 Å
α = 90.00°, β = 115.48°, γ = 90.00°
Space group C2/m (No. 12)
Inequivalent atoms, fractional coordinates:
Pm (0.133, 0.000, 0.191)
Sm (0.062, 0.000, 0.723)
Sm (0.120, 0.500, 0.534)
Sm (0.193, 0.500, 0.005)
Hg (0.015, 0.500, 0.170)
Hg (0.225, 0.000, 0.601)

=====

Q | Below is a geometry-optimized PmSm3Hg2 structure, with properties calculated at the PBE-GGA level.

Properties
density: 9.27 g cm⁻³
total magnetization: 0.00 μB per formula unit

a = 5.225 Å, b = 9.498 Å, c = 7.201 Å
α = 90.00°, β = 90.00°, γ = 90.00°
Space group Pmc2_1 (No. 26)
Inequivalent atoms, fractional coordinates:
Pm (0.000, 0.056, 0.000)
Sm (0.000, 0.327, 0.657)
Sm (0.500, 0.174, 0.316)
Sm (0.500, 0.444, 0.972)
Hg (0.000, 0.351, 0.223)
Hg (0.500, 0.149, 0.749)

=====

Result of the stability comparison: P is the least stable of them.

=====

P | Below is a geometry-optimized Pm2SmHg structure, with properties calculated at the PBE-GGA level.

Properties
density: 8.58 g cm⁻³
total magnetization: 0.00 μB per formula unit

a = 3.714 Å, b = 3.714 Å, c = 8.993 Å
α = 90.00°, β = 90.00°, γ = 90.00°
Space group P4/mmm (No. 123)
Inequivalent atoms, fractional coordinates:
Pm (0.000, 0.000, 0.221)
Sm (0.500, 0.500, 0.500)
Hg (0.500, 0.500, 0.000)

=====

Q | Below is a geometry-optimized Pm2SmHg structure, with properties calculated at the PBE-GGA level.

Properties
density: 9.00 g cm⁻³
total magnetization: 0.00 μB per formula unit

a = 4.908 Å, b = 4.908 Å, c = 4.909 Å
α = 90.00°, β = 90.00°, γ = 90.00°
Space group P4/mmm (No. 123)
Inequivalent atoms, fractional coordinates:
Pm (0.000, 0.500, 0.000)
Sm (0.000, 0.000, 0.500)
Hg (0.500, 0.500, 0.500)

=====

Result of the stability comparison: Q is the least stable of them.

=====

P | Below is a geometry-optimized PmSm2Hg6 structure, with properties calculated at the PBE-GGA level.

Properties
density: 12.03 g cm⁻³
total magnetization: 0.48 μB per formula unit

a = 8.7049 Å, b = 8.7049 Å, c = 3.4677 Å
α = 90.00°, β = 90.00°, γ = 120.00°
Space group P6/mmm (No. 191)
Inequivalent atoms, fractional coordinates:
Pm (0.0000, 0.0000, 0.0000)
Sm (0.3333, 0.6667, 0.0000)
Hg (0.0000, 0.3337, 0.5000)

=====

Q | Below is a geometry-optimized PmSm2Hg6 structure, with properties calculated at the PBE-GGA level.

Properties
density: 11.65 g cm⁻³
total magnetization: 0.00 μB per formula unit

a = 3.575 Å, b = 8.556 Å, c = 15.368 Å
α = 90.00°, β = 90.00°, γ = 90.00°
Space group Immm (No. 71)
Inequivalent atoms, fractional coordinates:
Pm (0.000, 0.000, 0.000)
Sm (0.000, 0.500, 0.148)
Hg (0.000, 0.174, 0.500)
Hg (0.000, 0.327, 0.329)

=====

Result of the stability comparison: Q is the least stable of them.

=====

P | Below is a geometry-optimized Pm2SmHg7 structure, with properties calculated at the PBE-GGA level.

Properties
density: 10.74 g cm⁻³
total magnetization: 0.00 μB per formula unit

a = 5.0947 Å, b = 5.0947 Å, c = 12.6861 Å
α = 90.00°, β = 90.00°, γ = 120.00°
Space group P3m1 (No. 156)
Inequivalent atoms, fractional coordinates:
Pm (0.0000, 0.0000, 0.0000)
Pm (0.3333, 0.6667, 0.6597)
Sm (0.6667, 0.3333, 0.3206)
Hg (0.0000, 0.0000, 0.2571)
Hg (0.0000, 0.0000, 0.7482)
Hg (0.3333, 0.6667, 0.1605)
Hg (0.3333, 0.6667, 0.4176)
Hg (0.3333, 0.6667, 0.9018)
Hg (0.6667, 0.3333, 0.0658)
Hg (0.6667, 0.3333, 0.5710)

=====

Q | Below is a geometry-optimized Pm2SmHg7 structure, with properties calculated at the PBE-GGA level.

Properties
density: 11.31 g cm⁻³
total magnetization: 0.00 μB per formula unit

a = 5.0457 Å, b = 5.0457 Å, c = 12.2857 Å
α = 90.00°, β = 90.00°, γ = 120.00°
Space group P3m1 (No. 156)
Inequivalent atoms, fractional coordinates:
Pm (0.0000, 0.0000, 0.0000)
Pm (0.3333, 0.6667, 0.6794)
Sm (0.6667, 0.3333, 0.3191)
Hg (0.0000, 0.0000, 0.2440)
Hg (0.0000, 0.0000, 0.4997)
Hg (0.0000, 0.0000, 0.7562)
Hg (0.3333, 0.6667, 0.1316)
Hg (0.3333, 0.6667, 0.4096)
Hg (0.6667, 0.3333, 0.5873)
Hg (0.6667, 0.3333, 0.8676)

=====

Result of the stability comparison: P is the least stable of them.

=====

P | Below is a geometry-optimized PmSm3Hg4 structure, with properties calculated at the PBE-GGA level.

Properties
density: 9.76 g cm⁻³
total magnetization: 0.00 μB per formula unit

a = 3.771 Å, b = 7.681 Å, c = 16.427 Å
α = 90.00°, β = 90.00°, γ = 90.00°
Space group Immm (No. 71)
Inequivalent atoms, fractional coordinates:
Pm (0.000, 0.000, 0.000)
Sm (0.000, 0.000, 0.500)
Sm (0.000, 0.500, 0.298)
Hg (0.000, 0.298, 0.131)

=====

Q | Below is a geometry-optimized PmSm3Hg4 structure, with properties calculated at the PBE-GGA level.

Properties
density: 10.59 g cm⁻³
total magnetization: 1.68 μB per formula unit

a = 10.693 Å, b = 7.670 Å, c = 5.346 Å
α = 90.00°, β = 90.00°, γ = 90.00°
Space group Pmma (No. 51)
Inequivalent atoms, fractional coordinates:
Pm (0.000, 0.000, 0.000)
Sm (0.000, 0.500, 0.000)
Sm (0.250, 0.000, 0.498)
Sm (0.250, 0.500, 0.498)
Hg (0.000, 0.251, 0.500)
Hg (0.250, 0.251, 0.998)

=====

Result of the stability comparison: P is the least stable of them.